[1]
9
Lattice="5.108 0.000 0.000 2.554 4.424 0.000 0.000 0.000 5.168" Properties=species:S:1:pos:R:3 comment="PrAlIrO6 | Alexandria via LeMat-Bulk | GGA-PBE | relaxed" magnetic_moment_mub_per_atom=0.311 e_form_raw_ev_per_atom=-2.050 energy_ev_per_atom=-7.287 pbc="T T T"
O 5.771 4.402 1.517
O 4.181 1.649 3.651
O 3.518 2.797 1.517
O 6.035 1.649 1.517
O 4.445 4.402 3.651
O 6.698 2.797 3.651
Ir 2.554 1.475 2.584
Pr 5.108 0.000 5.168
Al 5.108 2.949 2.584

---

[2]
18
Lattice="-3.100 -3.282 2.158 2.815 -1.403 -3.892 6.215 -2.355 5.345" Properties=species:S:1:pos:R:3 comment="AlIrPtO6 | Alexandria via LeMat-Bulk | GGA-PBE | relaxed" magnetic_moment_mub_per_atom=0.000 e_form_raw_ev_per_atom=-1.187 energy_ev_per_atom=-6.564 pbc="T T T"
O 2.176 -2.517 1.422
O -0.266 -1.480 1.401
O 5.626 -3.987 0.251
O 0.575 -3.369 -0.409
O 4.863 -2.016 2.007
O 6.197 -5.560 2.211
O 3.754 -4.524 2.190
O 5.356 -3.671 4.021
O -1.304 -4.024 1.487
O 7.234 -3.017 2.125
O 0.305 -3.054 3.361
O 1.068 -5.025 1.605
Pt 0.000 0.000 0.000
Pt 3.108 -1.177 2.673
Al 5.505 -3.796 2.134
Al 0.426 -3.245 1.478
Ir 3.533 -4.422 4.151
Ir 2.397 -2.619 -0.539

---

[3]
18
Lattice="4.992 0.000 0.000 -2.496 4.323 0.000 0.000 0.000 8.475" Properties=species:S:1:pos:R:3 comment="AlIrRhO6 | Alexandria via LeMat-Bulk | GGA-PBE | relaxed" magnetic_moment_mub_per_atom=0.189 e_form_raw_ev_per_atom=-1.278 energy_ev_per_atom=-6.800 pbc="T T T"
Rh 0.000 0.000 0.000
Rh 0.000 0.000 4.238
Ir 2.496 1.441 6.356
Ir 0.000 2.882 2.119
Al 2.496 1.441 2.119
Al 0.000 2.882 6.356
O -0.779 4.272 5.329
O 1.682 2.811 1.091
O -0.814 1.512 5.329
O 1.717 0.051 1.091
O 0.814 1.512 7.384
O 0.902 1.461 3.146
O 3.310 2.811 3.146
O -1.593 2.862 7.384
O 0.779 4.272 7.384
O 4.089 1.461 1.091
O 1.593 2.862 5.329
O 3.275 0.051 3.146